First-principles (GGA-PBE) data for a relaxed Hf3TiIn4 crystal, as listed in Alexandria via LeMat-Bulk.

Formation energy   -0.08 eV per atom
Final energy   -98.64 eV/cell
Crystal system   orthorhombic
SG   Pmna
Polymorph energy (0 for the lowest one)   0.000 eV/atom

Lattice parameters (Å, degrees): 6.2644 6.2940 8.7096 90.00 90.00 90.00
With the nearest neighbours (Å) after each atom.
Sites, in units of the cell vectors:
Hf (0.5644, 0.2515, 0.7500)  2 Ti 3.10-3.11, 8 In 3.10-3.18, 2 Hf 3.11
Hf (0.3144, 0.0000, 0.5000)  4 Hf 3.11, 6 In 3.12-3.13, 2 Ti 3.15
Hf (0.8144, 0.0000, 0.0000)  4 Hf 3.11, 6 In 3.12-3.13, 2 Ti 3.15
Hf (0.0644, 0.7485, 0.2500)  2 Ti 3.10-3.11, 8 In 3.10-3.18, 2 Hf 3.11
Hf (0.0644, 0.7485, 0.7500)  2 Ti 3.10-3.11, 8 In 3.10-3.18, 2 Hf 3.11
Hf (0.5644, 0.2515, 0.2500)  2 Ti 3.10-3.11, 8 In 3.10-3.18, 2 Hf 3.11
In (0.5644, 0.7461, 0.7500)  2 Ti 3.10, 4 In 3.10-3.12, 6 Hf 3.11-3.18
In (0.5644, 0.7461, 0.2500)  2 Ti 3.10, 4 In 3.10-3.12, 6 Hf 3.11-3.18
In (0.8144, 0.4999, 0.5000)  6 In 3.10-3.15, 4 Hf 3.10-3.11, 2 Ti 3.13
In (0.3145, 0.0000, 0.0000)  6 Hf 3.11-3.13, 6 In 3.12-3.15
In (0.0644, 0.2539, 0.7500)  2 Ti 3.10, 4 In 3.10-3.12, 6 Hf 3.11-3.18
In (0.0644, 0.2539, 0.2500)  2 Ti 3.10, 4 In 3.10-3.12, 6 Hf 3.11-3.18
In (0.3144, 0.5001, 0.0000)  6 In 3.10-3.15, 4 Hf 3.10-3.11, 2 Ti 3.13
In (0.8145, 0.0000, 0.5000)  6 Hf 3.11-3.13, 6 In 3.12-3.15
Ti (0.8143, 0.4999, 0.0000)  6 In 3.10-3.13, 6 Hf 3.10-3.15
Ti (0.3143, 0.5001, 0.5000)  6 In 3.10-3.13, 6 Hf 3.10-3.15